# 1
DFT (PBE-GGA) results for a relaxed Tb12Ni6Ge crystal.

Output
Space-group type: Im-3, No. 204
DOS at the Fermi energy (states/eV/f.u.): 19.2
Formation energy (kJ per mole of atoms): -35.5

The structure in POSCAR format:
```
Tb12Ni6Ge
1.0
7.9103 0.0000 -2.7967
-3.9552 6.8505 -2.7967
0.0000 0.0000 8.3902
Ni Tb Ge
6 12 1
direct
0.6246 0.5000 0.1246 Ni
0.3754 0.5000 0.8754 Ni
0.8754 0.3754 0.5000 Ni
0.5000 0.8754 0.3754 Ni
0.5000 0.1246 0.6246 Ni
0.1246 0.6246 0.5000 Ni
0.6981 0.5116 0.8135 Tb
0.1865 0.6981 0.8846 Tb
0.3019 0.4884 0.1865 Tb
0.1154 0.8135 0.3019 Tb
0.8846 0.1865 0.6981 Tb
0.4884 0.1865 0.3019 Tb
0.5116 0.8135 0.6981 Tb
0.3019 0.1154 0.8135 Tb
0.8135 0.6981 0.5116 Tb
0.8135 0.3019 0.1154 Tb
0.1865 0.3019 0.4884 Tb
0.6981 0.8846 0.1865 Tb
0.0000 0.0000 0.0000 Ge
```

# 2
DFT (PBE-GGA) results for a relaxed Rb2Pt crystal.

Output
Space-group type: C2/m, No. 12
DOS at the Fermi energy (states/eV/f.u.): 1.1
Formation energy (kJ per mole of atoms): 4.8

The structure in POSCAR format:
```
Rb2Pt
1.0
2.8428 4.9267 -0.1998
-2.8428 4.9267 -0.1998
0.0000 3.5912 7.9011
Rb Pt
4 2
direct
0.7920 0.7920 0.6256 Rb
0.6303 0.6303 0.1082 Rb
0.3697 0.3697 0.8918 Rb
0.2080 0.2080 0.3744 Rb
0.0563 0.0563 0.8319 Pt
0.9437 0.9437 0.1681 Pt
```

# 3
DFT (PBE-GGA) results for a relaxed TbMnAl11 crystal.

Output
Space-group type: C2/m, No. 12
DOS at the Fermi energy (states/eV/f.u.): 6.1
Formation energy (kJ per mole of atoms): -17.2

The structure in POSCAR format:
```
TbMnAl11
1.0
-2.1525 4.1192 -2.3224
-2.4975 -1.8075 -6.3730
-6.6341 0.6144 1.4267
Al Tb Mn
11 1 1
direct
0.5007 0.2271 0.7864 Al
0.0000 0.0000 0.5000 Al
0.3681 0.6377 0.6576 Al
0.9742 0.3623 0.6576 Al
0.2871 0.2271 0.2136 Al
0.4993 0.7729 0.2136 Al
0.7129 0.7729 0.7864 Al
0.6319 0.3623 0.3424 Al
0.5000 0.0000 0.5000 Al
0.0000 0.5000 0.0000 Al
0.0258 0.6377 0.3424 Al
0.0000 0.0000 0.0000 Tb
0.5000 0.5000 0.0000 Mn
```

# 4
DFT (PBE-GGA) results for a relaxed GdHfPd2 crystal.

Output
Space-group type: P4/mmm, No. 123
DOS at the Fermi energy (states/eV/f.u.): 4.1
Formation energy (kJ per mole of atoms): -70.2

The structure in POSCAR format:
```
GdHfPd2
1.0
-0.6024 2.0128 -2.6347
-1.6937 -2.4889 -1.5142
-6.0869 2.2498 3.1105
Hf Pd Gd
1 2 1
direct
0.5000 0.5000 0.0000 Hf
0.0000 0.0000 0.7915 Pd
0.0000 0.0000 0.2085 Pd
0.5000 0.5000 0.5000 Gd
```